(1)
# HfGeC3, optimized geometry, DFT PBEsol
data_HfGeC3
_chemical_formula_sum 'Hf1 Ge1 C3'
_space_group_name_H-M_alt 'P 1'
_space_group_IT_number 1
_cell_length_a 4.244
_cell_length_b 4.244
_cell_length_c 4.244
_cell_angle_alpha 90.00
_cell_angle_beta 90.00
_cell_angle_gamma 90.00
loop_
_space_group_symop_operation_xyz
'x,y,z'
loop_
_atom_site_label
_atom_site_type_symbol
_atom_site_fract_x
_atom_site_fract_y
_atom_site_fract_z
_atom_site_occupancy
Hf1 Hf 0.000 0.000 0.000 1
C1 C 0.000 0.000 0.500 1
C2 C 0.500 0.000 0.000 1
C3 C 0.000 0.500 0.000 1
Ge1 Ge 0.500 0.500 0.500 1
# magnetic moment = 0.00 Bohr magnetons per cell
# symmetry = Pm-3m (221)
# formation energy = 10.369 eV/f.u.

(2)
# As2RuSe, optimized geometry, DFT PBEsol
data_As2RuSe
_chemical_formula_sum 'As2 Ru1 Se1'
_space_group_name_H-M_alt 'P 1'
_space_group_IT_number 1
_cell_length_a 2.830
_cell_length_b 2.830
_cell_length_c 10.018
_cell_angle_alpha 90.00
_cell_angle_beta 90.00
_cell_angle_gamma 117.58
loop_
_space_group_symop_operation_xyz
'x,y,z'
loop_
_atom_site_label
_atom_site_type_symbol
_atom_site_fract_x
_atom_site_fract_y
_atom_site_fract_z
_atom_site_occupancy
Se1 Se 0.500 0.500 0.000 1
As1 As 0.000 0.000 0.703 1
As2 As 0.000 0.000 0.297 1
Ru1 Ru 0.500 0.500 0.500 1
# magnetic moment = 0.00 Bohr magnetons per cell
# symmetry = Cmmm (65)
# uncorrected formation energy = 23.3 kJ per mole of atoms

(3)
# BaYTe2I, optimized geometry, DFT PBEsol
data_BaYTe2I
_chemical_formula_sum 'Ba1 Y1 Te2 I1'
_space_group_name_H-M_alt 'P 1'
_space_group_IT_number 1
_cell_length_a 5.777
_cell_length_b 5.856
_cell_length_c 5.856
_cell_angle_alpha 90.00
_cell_angle_beta 90.00
_cell_angle_gamma 90.00
loop_
_space_group_symop_operation_xyz
'x,y,z'
loop_
_atom_site_label
_atom_site_type_symbol
_atom_site_fract_x
_atom_site_fract_y
_atom_site_fract_z
_atom_site_occupancy
I1 I 0.500 0.000 0.000 1
Y1 Y 0.000 0.000 0.000 1
Ba1 Ba 0.500 0.500 0.500 1
Te1 Te 0.000 0.500 0.000 1
Te2 Te 0.000 0.000 0.500 1
# magnetic moment = 0.00 Bohr magnetons per cell
# symmetry = P4/mmm (123)
# uncorrected formation energy = -128.1 kJ per mole of atoms
# excess energy over the best structure of this formula in the dataset = 0 meV per atom

(4)
# MnZn2Cr, optimized geometry, DFT PBEsol
data_MnZn2Cr
_chemical_formula_sum 'Mn1 Zn2 Cr1'
_space_group_name_H-M_alt 'P 1'
_space_group_IT_number 1
_cell_length_a 2.841
_cell_length_b 2.841
_cell_length_c 6.021
_cell_angle_alpha 90.00
_cell_angle_beta 90.00
_cell_angle_gamma 90.00
loop_
_space_group_symop_operation_xyz
'x,y,z'
loop_
_atom_site_label
_atom_site_type_symbol
_atom_site_fract_x
_atom_site_fract_y
_atom_site_fract_z
_atom_site_occupancy
Mn1 Mn 0.500 0.500 0.717 1
Cr1 Cr 0.000 0.000 0.535 1
Zn1 Zn 0.500 0.500 0.259 1
Zn2 Zn 0.000 0.000 0.988 1
# magnetic moment = 0.01 Bohr magnetons per cell
# symmetry = P4mm (99)
# formation energy = 0.248 eV/f.u.
# excess energy over the best structure of this formula in the dataset = 0 meV per atom

(5)
# ZrIr3, optimized geometry, DFT PBEsol
data_ZrIr3
_chemical_formula_sum 'Zr2 Ir6'
_space_group_name_H-M_alt 'P 1'
_space_group_IT_number 1
_cell_length_a 3.939
_cell_length_b 3.939
_cell_length_c 8.354
_cell_angle_alpha 103.64
_cell_angle_beta 103.64
_cell_angle_gamma 90.00
loop_
_space_group_symop_operation_xyz
'x,y,z'
loop_
_atom_site_label
_atom_site_type_symbol
_atom_site_fract_x
_atom_site_fract_y
_atom_site_fract_z
_atom_site_occupancy
Ir1 Ir 0.500 0.000 0.000 1
Ir2 Ir 0.000 0.500 0.000 1
Ir3 Ir 0.250 0.750 0.500 1
Ir4 Ir 0.750 0.250 0.500 1
Ir5 Ir 0.874 0.874 0.747 1
Ir6 Ir 0.126 0.126 0.253 1
Zr1 Zr 0.622 0.622 0.244 1
Zr2 Zr 0.378 0.378 0.756 1
# magnetic moment = 0.00 Bohr magnetons per cell
# symmetry = I4/mmm (139)
# formation energy = -2.671 eV/f.u.

(6)
# CuTcTe2, optimized geometry, DFT PBEsol
data_CuTcTe2
_chemical_formula_sum 'Cu1 Tc1 Te2'
_space_group_name_H-M_alt 'P 1'
_space_group_IT_number 1
_cell_length_a 3.456
_cell_length_b 5.286
_cell_length_c 4.242
_cell_angle_alpha 90.00
_cell_angle_beta 90.00
_cell_angle_gamma 109.05
loop_
_space_group_symop_operation_xyz
'x,y,z'
loop_
_atom_site_label
_atom_site_type_symbol
_atom_site_fract_x
_atom_site_fract_y
_atom_site_fract_z
_atom_site_occupancy
Te1 Te 0.739 0.353 0.500 1
Te2 Te 0.022 0.918 0.000 1
Cu1 Cu 0.284 0.443 0.000 1
Tc1 Tc 0.456 0.787 0.500 1
# magnetic moment = 0.00 Bohr magnetons per cell
# symmetry = Amm2 (38)
# uncorrected formation energy = 18.0 kJ per mole of atoms
# excess energy over the best structure of this formula in the dataset = 0 meV per atom

(7)
# Y2HgSb, optimized geometry, DFT PBEsol
data_Y2HgSb
_chemical_formula_sum 'Y2 Hg1 Sb1'
_space_group_name_H-M_alt 'P 1'
_space_group_IT_number 1
_cell_length_a 4.165
_cell_length_b 4.165
_cell_length_c 7.840
_cell_angle_alpha 74.60
_cell_angle_beta 74.60
_cell_angle_gamma 60.00
loop_
_space_group_symop_operation_xyz
'x,y,z'
loop_
_atom_site_label
_atom_site_type_symbol
_atom_site_fract_x
_atom_site_fract_y
_atom_site_fract_z
_atom_site_occupancy
Y1 Y 0.247 0.247 0.260 1
Y2 Y 0.753 0.753 0.740 1
Hg1 Hg 0.000 0.000 0.000 1
Sb1 Sb 0.500 0.500 0.500 1
# magnetic moment = 0.00 Bohr magnetons per cell
# symmetry = R-3m (166)
# uncorrected formation energy = -73.1 kJ per mole of atoms
# excess energy over the best structure of this formula in the dataset = 87 meV per atom

(8)
# CrMoIO2, optimized geometry, DFT PBEsol
data_CrMoIO2
_chemical_formula_sum 'Cr1 Mo1 I1 O2'
_space_group_name_H-M_alt 'P 1'
_space_group_IT_number 1
_cell_length_a 3.776
_cell_length_b 3.776
_cell_length_c 5.649
_cell_angle_alpha 90.00
_cell_angle_beta 90.00
_cell_angle_gamma 90.00
loop_
_space_group_symop_operation_xyz
'x,y,z'
loop_
_atom_site_label
_atom_site_type_symbol
_atom_site_fract_x
_atom_site_fract_y
_atom_site_fract_z
_atom_site_occupancy
O1 O 0.000 0.500 0.000 1
O2 O 0.500 0.000 0.000 1
Mo1 Mo 0.500 0.500 0.500 1
Cr1 Cr 0.000 0.000 0.000 1
I1 I 0.000 0.000 0.500 1
# magnetic moment = 5.81 Bohr magnetons per cell
# symmetry = P4/mmm (123)
# uncorrected formation energy = 2.0 kJ per mole of atoms
# excess energy over the best structure of this formula in the dataset = 597 meV per atom

Calculated E, -6.8008 -5.8174 -4.8853 -5.7296 -10.3077 -5.4765 -5.4501 -6.8340 eV per atom (same order as the records).